1.
Below is an optimized crystal structure of ZnCu2SiTe2S2, with properties calculated at the PBE level.

Cell and atoms, written as POSCAR:
```
ZnCu2SiTe2S2
1.0
6.240 -2.813 0.000
6.240 2.813 0.000
-2.434 0.000 5.063
Cu S Si Te Zn
2 2 1 2 1
direct
0.752 0.746 0.307 Cu
0.254 0.248 0.693 Cu
0.379 0.860 0.384 S
0.140 0.621 0.616 S
0.466 0.534 0.500 Si
0.603 0.127 0.126 Te
0.873 0.397 0.874 Te
0.031 0.969 0.000 Zn
```

=====

2.
Below is an optimized crystal structure of CdSnTeO, with properties calculated at the PBE level.

Cell and atoms, written as POSCAR:
```
CdSnTeO
1.0
7.049 0.000 0.000
0.000 15.962 0.000
0.000 0.000 7.336
Cd O Sn Te
8 8 8 8
direct
0.620 0.286 0.142 Cd
0.880 0.786 0.142 Cd
0.120 0.286 0.358 Cd
0.380 0.786 0.358 Cd
0.620 0.214 0.642 Cd
0.880 0.714 0.642 Cd
0.120 0.214 0.858 Cd
0.380 0.714 0.858 Cd
0.289 0.271 0.089 O
0.211 0.771 0.089 O
0.789 0.271 0.411 O
0.711 0.771 0.411 O
0.289 0.229 0.589 O
0.211 0.729 0.589 O
0.789 0.229 0.911 O
0.711 0.729 0.911 O
0.722 0.107 0.042 Sn
0.778 0.607 0.042 Sn
0.222 0.107 0.458 Sn
0.278 0.607 0.458 Sn
0.722 0.393 0.542 Sn
0.778 0.893 0.542 Sn
0.222 0.393 0.958 Sn
0.278 0.893 0.958 Sn
0.530 0.458 0.216 Te
0.970 0.958 0.216 Te
0.030 0.458 0.284 Te
0.470 0.958 0.284 Te
0.530 0.042 0.716 Te
0.970 0.542 0.716 Te
0.030 0.042 0.784 Te
0.470 0.542 0.784 Te
```

=====

| no. | calculated total energy (eV per atom) |
| --- | --- |
| 1 | -3.910 |
| 2 | -3.690 |